Entry 1:
The following is a SCAN calculation of a PBEsol-optimized structure of K2ZrBr, from the Alexandria database.

Lattice parameters (Å, degrees): 4.8875 4.8875 12.1879 90.00 90.00 90.00
Closest atoms and distances in Å follow each position.
Space group I-4m2 (No. 119)
Asymmetric unit:
1 K 0.0000 0.0000 0.0000  4 Zr 3.46
2 K 0.0000 0.5000 0.2500  4 Br 3.46
3 Zr 0.0000 0.0000 0.5000  4 K 3.46
4 Br 0.0000 0.5000 0.7500  4 K 3.46

raw formation energy: 0.316 eV per atom
polymorph energy (0 for the lowest one): 0.391 eV/atom

---

Entry 2:
The following is a SCAN calculation of a PBEsol-optimized structure of MgSi3Se, from the Alexandria database.

Lattice parameters (Å, degrees): 4.8825 4.8825 4.8825 90.00 90.00 90.00
Closest atoms and distances in Å follow each position.
Space group Pm-3m (No. 221)
Asymmetric unit:
1 Mg 0.0000 0.0000 0.0000  12 Si 3.45
2 Si 0.0000 0.5000 0.5000  2 Se 2.44
3 Se 0.5000 0.5000 0.5000  6 Si 2.44

raw formation energy: 1.096 eV per atom

---

Entry 3:
The following is a SCAN calculation of a PBEsol-optimized structure of Li4CaHg, from the Alexandria database.

Lattice parameters (Å, degrees): 7.7987 7.7987 7.7987 90.00 90.00 90.00
Closest atoms and distances in Å follow each position.
Space group F-43m (No. 216)
Asymmetric unit:
1 Li 0.1225 0.1225 0.1225  6 Li 2.70-2.81
2 Ca 0.0000 0.0000 0.5000  12 Li 3.24, 4 Hg 3.38
3 Hg 0.2500 0.2500 0.7500  12 Li 3.23, 4 Ca 3.38

E_form: -0.19 eV per atom

---

Entry 4:
The following is a SCAN calculation of a PBEsol-optimized structure of AlFeCl, from the Alexandria database.

Lattice parameters (Å, degrees): 5.8504 5.8504 5.8504 90.00 90.00 90.00
Closest atoms and distances in Å follow each position.
Space group F-43m (No. 216)
Asymmetric unit:
1 Al 0.0000 0.0000 0.0000  4 Cl 2.53
2 Fe 0.0000 0.0000 0.5000  4 Cl 2.53
3 Cl 0.2500 0.2500 0.2500  4 Fe 2.53, 4 Al 2.53

raw formation energy: 0.944 eV per atom
polymorph energy (0 for the lowest one): 1.039 eV/atom

---

Entry 5:
The following is a SCAN calculation of a PBEsol-optimized structure of Li2Bi5B3O13, from the Alexandria database.

Lattice parameters (Å, degrees): 10.8798 3.6545 15.9298 90.00 102.88 90.00
Closest atoms and distances in Å follow each position.
Space group P2_1/m (No. 11)
Asymmetric unit:
1 Li 0.1290 0.2500 0.0676  4 O 1.93-2.16
2 Li 0.3271 0.7500 0.2913  4 O 1.90-2.11
3 Bi 0.0341 0.2500 0.2903  6 O 2.31-2.51
4 Bi 0.1313 0.2500 0.5658  6 O 2.30-2.50
5 Bi 0.3142 0.2500 0.8045  6 O 2.25-2.50
6 Bi 0.3580 0.7500 0.0170  7 O 2.28-2.54
7 Bi 0.4503 0.7500 0.6043  6 O 2.29-2.55
8 B 0.1096 0.7500 0.9072  3 O 1.35-1.43
9 B 0.2738 0.7500 0.4244  3 O 1.38-1.39
10 B 0.4181 0.2500 0.1920  3 O 1.37-1.40
11 O 0.0039 0.7500 0.5702  4 Bi 2.30-2.35
12 O 0.0097 0.2500 0.1412  1 B 1.35
13 O 0.0966 0.2500 0.7115  4 Bi 2.31-2.50
14 O 0.1376 0.7500 0.9964  1 B 1.39
15 O 0.1888 0.7500 0.3458  1 B 1.38
16 O 0.2174 0.7500 0.8693  1 B 1.43
17 O 0.2381 0.7500 0.5026  1 B 1.38
18 O 0.3213 0.2500 0.1199  1 B 1.37
19 O 0.3632 0.2500 0.6549  3 Bi 2.29-2.55
20 O 0.3889 0.2500 0.2724  1 B 1.39
21 O 0.4021 0.7500 0.4254  1 B 1.39
22 O 0.4085 0.2500 0.9456  4 Bi 2.25-2.48
23 O 0.4557 0.7500 0.8145  1 B 1.40

raw formation energy: -1.772 eV per atom

---

Entry 6:
The following is a SCAN calculation of a PBEsol-optimized structure of SrSbRh2, from the Alexandria database.

Lattice parameters (Å, degrees): 4.4625 4.4625 15.6778 90.00 90.00 120.00
Closest atoms and distances in Å follow each position.
Space group R-3m (No. 166, hexagonal axes)
Asymmetric unit:
1 Sr 0.0000 0.0000 0.0000  8 Rh 3.08-3.36
2 Sb 0.0000 0.0000 0.5000  6 Rh 2.62
3 Rh 0.0000 0.0000 0.1962  3 Sb 2.62, 3 Rh 2.74

raw formation energy: -0.628 eV per atom

---

Entry 7:
The following is a SCAN calculation of a PBEsol-optimized structure of LiMgCo2, from the Alexandria database.

Lattice parameters (Å, degrees): 3.0199 4.0141 8.3034 90.00 90.00 90.00
Closest atoms and distances in Å follow each position.
Space group Cmmm (No. 65)
Asymmetric unit:
1 Li 0.0000 0.0000 0.0000  4 Li 2.51, 4 Co 2.55
2 Mg 0.0000 0.0000 0.5000  4 Mg 2.51, 4 Co 2.58
3 Co 0.0000 0.5000 0.2481  4 Co 2.51, 2 Li 2.55, 2 Mg 2.58

E_form: 0.27 eV per atom

---

Entry 8:
The following is a SCAN calculation of a PBEsol-optimized structure of Ba2TaAu, from the Alexandria database.

Lattice parameters (Å, degrees): 4.6781 4.6781 10.6467 90.00 90.00 90.00
Closest atoms and distances in Å follow each position.
Space group I-4m2 (No. 119)
Asymmetric unit:
1 Ba 0.0000 0.0000 0.0000  4 Ta 3.31, 4 Ba 3.54, 4 Au 3.54
2 Ba 0.0000 0.5000 0.2500  4 Au 3.31, 4 Ba 3.54, 4 Ta 3.54
3 Ta 0.0000 0.0000 0.5000  8 Ba 3.31-3.54, 4 Au 3.54
4 Au 0.0000 0.5000 0.7500  8 Ba 3.31-3.54, 4 Ta 3.54

E_form: 0.72 eV per atom
polymorph energy (0 for the lowest one): 0.033 eV/atom

---

Entry 9:
The following is a SCAN calculation of a PBEsol-optimized structure of ZnNi2Ir, from the Alexandria database.

Lattice parameters (Å, degrees): 4.3716 2.6319 4.4051 90.00 108.06 90.00
Closest atoms and distances in Å follow each position.
Space group P2/m (No. 10)
Asymmetric unit:
1 Zn 0.0000 0.0000 0.0000  6 Ni 2.55-2.58, 4 Ir 2.57, 2 Zn 2.63
2 Ni 0.5000 0.0000 0.5000  4 Ir 2.55, 6 Ni 2.57-2.63, 2 Zn 2.58
3 Ni 0.5000 0.5000 0.0000  4 Zn 2.55, 6 Ni 2.57-2.63, 2 Ir 2.58
4 Ir 0.0000 0.5000 0.5000  6 Ni 2.55-2.58, 4 Zn 2.57, 2 Ir 2.63

E_form: -0.05 eV per atom

---

Entry 10:
The following is a SCAN calculation of a PBEsol-optimized structure of K2AlFe, from the Alexandria database.

Lattice parameters (Å, degrees): 5.8546 11.2538 3.1405 90.00 90.00 90.00
Closest atoms and distances in Å follow each position.
Space group Cmmm (No. 65)
Asymmetric unit:
1 K 0.2500 0.2500 0.0000  4 K 2.93-3.14
2 Al 0.0000 0.0000 0.5000  2 Fe 2.93, 2 Al 3.14
3 Fe 0.0000 0.5000 0.5000  2 Al 2.93, 2 Fe 3.14

E_form: 0.84 eV per atom

---

Entry 11:
The following is a SCAN calculation of a PBEsol-optimized structure of Zr3RhW, from the Alexandria database.

Lattice parameters (Å, degrees): 4.8390 4.8390 4.8390 90.00 90.00 90.00
Closest atoms and distances in Å follow each position.
Space group Pm-3m (No. 221)
Asymmetric unit:
1 Zr 0.0000 0.0000 0.5000  2 Rh 2.42
2 Rh 0.0000 0.0000 0.0000  6 Zr 2.42
3 W 0.5000 0.5000 0.5000  12 Zr 3.42

E_form: 0.79 eV per atom
polymorph energy (0 for the lowest one): 0.000 eV/atom

---

Entry 12:
The following is a SCAN calculation of a PBEsol-optimized structure of SrLa3Rh, from the Alexandria database.

Lattice parameters (Å, degrees): 5.4523 5.4523 5.4523 90.00 90.00 90.00
Closest atoms and distances in Å follow each position.
Space group Pm-3m (No. 221)
Asymmetric unit:
1 Sr 0.0000 0.0000 0.0000  6 La 2.73
2 La 0.0000 0.0000 0.5000  2 Sr 2.73
3 Rh 0.5000 0.5000 0.5000  12 La 3.86

E_form: 1.40 eV per atom
polymorph energy (0 for the lowest one): 1.712 eV/atom

---

Entry 13:
The following is a SCAN calculation of a PBEsol-optimized structure of MgCuSi2F, from the Alexandria database.

Lattice parameters (Å, degrees): 4.5436 4.5436 3.8057 90.00 90.00 90.00
Closest atoms and distances in Å follow each position.
Space group P4/mmm (No. 123)
Asymmetric unit:
1 Mg 0.0000 0.0000 0.0000  2 F 1.90
2 Cu 0.5000 0.5000 0.0000  8 Si 2.96, 4 Mg 3.21
3 Si 0.0000 0.5000 0.5000  2 F 2.27
4 F 0.0000 0.0000 0.5000  2 Mg 1.90

raw formation energy: 0.132 eV per atom

---

Entry 14:
The following is a SCAN calculation of a PBEsol-optimized structure of CaYAl, from the Alexandria database.

Lattice parameters (Å, degrees): 3.5564 3.5564 13.1404 90.00 90.00 90.00
Closest atoms and distances in Å follow each position.
Space group I4mm (No. 107)
Asymmetric unit:
1 Ca 0.0000 0.0000 0.0000  4 Al 3.20, 4 Ca 3.56
2 Y 0.0000 0.0000 0.2808  4 Al 3.04
3 Al 0.0000 0.0000 0.6502  4 Y 3.04, 4 Ca 3.20

E_form: -0.19 eV per atom
polymorph energy (0 for the lowest one): 0.000 eV/atom

---

Entry 15:
The following is a SCAN calculation of a PBEsol-optimized structure of Li2Ni, from the Alexandria database.

Lattice parameters (Å, degrees): 5.0041 4.1230 7.5310 90.00 90.00 90.00
Closest atoms and distances in Å follow each position.
Space group Pnma (No. 62)
Asymmetric unit:
1 Li 0.1025 0.2500 0.1223  3 Ni 2.49-2.71, 5 Li 2.57-2.66
2 Li 0.2042 0.2500 0.7880  4 Ni 2.47-2.70, 7 Li 2.57-2.66
3 Ni 0.0802 0.2500 0.4707  2 Ni 2.26, 2 Li 2.47-2.49

E_form: 0.08 eV per atom

---

Entry 16:
The following is a SCAN calculation of a PBEsol-optimized structure of Na2Te2N, from the Alexandria database.

Lattice parameters (Å, degrees): 4.2362 4.2362 16.1566 90.00 90.00 90.00
Closest atoms and distances in Å follow each position.
Space group I4/mmm (No. 139)
Asymmetric unit:
1 Na 0.0000 0.0000 0.0921  1 Na 2.98, 4 Te 3.32
2 Te 0.0000 0.5000 0.2500  4 Te 3.00, 4 Na 3.32
3 N 0.0000 0.0000 0.5000  8 Na 3.34

raw formation energy: 0.418 eV per atom

---

Entry 17:
The following is a SCAN calculation of a PBEsol-optimized structure of BaLi2P2O7, from the Alexandria database.

Lattice parameters (Å, degrees): 7.0715 12.1135 13.8427 90.00 90.79 90.00
Closest atoms and distances in Å follow each position.
Space group C2/c (No. 15)
Asymmetric unit:
1 Ba 0.1825 0.0273 0.1208  8 O 2.68-2.92
2 Li 0.0000 0.2305 0.2500  4 O 2.02-2.07
3 Li 0.0000 0.2352 0.7500  4 O 1.94-1.95
4 Li 0.0378 0.2338 0.5096  4 O 1.95-2.08
5 P 0.1779 0.3955 0.6192  4 O 1.52-1.65
6 P 0.2189 0.3680 0.1350  4 O 1.52-1.65
7 O 0.0012 0.3256 0.6346  1 P 1.53
8 O 0.0867 0.2717 0.1124  1 P 1.52
9 O 0.0869 0.4793 0.1215  2 P 1.65
10 O 0.1211 0.1138 0.9366  1 P 1.53
11 O 0.1720 0.1095 0.3007  1 P 1.53
12 O 0.2163 0.1352 0.7594  1 P 1.53
13 O 0.2404 0.1255 0.4805  1 P 1.52

raw formation energy: -2.819 eV per atom

---

Entry 18:
The following is a SCAN calculation of a PBEsol-optimized structure of MgAlSb2, from the Alexandria database.

Lattice parameters (Å, degrees): 3.1808 5.0946 5.7578 90.00 90.00 90.00
Closest atoms and distances in Å follow each position.
Space group Pmm2 (No. 25)
Asymmetric unit:
1 Mg 0.0000 0.0000 0.0000  6 Sb 2.88-3.00, 2 Mg 3.18
2 Al 0.5000 0.5000 0.5039  6 Sb 2.88-3.00, 2 Al 3.18
3 Sb 0.0000 0.0000 0.5002  2 Mg 2.88, 4 Al 3.00, 2 Sb 3.18
4 Sb 0.5000 0.5000 0.0033  2 Al 2.88, 4 Mg 3.00, 2 Sb 3.18

raw formation energy: -0.079 eV per atom
polymorph energy (0 for the lowest one): 0.003 eV/atom

---

Entry 19:
The following is a SCAN calculation of a PBEsol-optimized structure of Mn2ZnOs, from the Alexandria database.

Lattice parameters (Å, degrees): 3.7001 3.7001 7.2341 90.00 90.00 90.00
Closest atoms and distances in Å follow each position.
Space group I4/mmm (No. 139)
Asymmetric unit:
1 Mn 0.0000 0.5000 0.2500  4 Os 2.59, 4 Zn 2.59, 4 Mn 2.62
2 Zn 0.0000 0.0000 0.0000  8 Mn 2.59, 4 Os 2.62
3 Os 0.0000 0.0000 0.5000  8 Mn 2.59, 4 Zn 2.62

E_form: 0.00 eV per atom

---

Entry 20:
The following is a SCAN calculation of a PBEsol-optimized structure of TaIn2Pt, from the Alexandria database.

Lattice parameters (Å, degrees): 5.8902 9.5197 2.9198 90.00 115.37 90.00
Closest atoms and distances in Å follow each position.
Space group C2/m (No. 12)
Asymmetric unit:
1 Ta 0.0000 0.0000 0.0000  4 In 2.85, 2 Ta 2.92, 4 Pt 2.95-3.14
2 In 0.2500 0.2500 0.5000  2 Ta 2.85, 2 Pt 2.85, 6 In 2.92-3.14
3 Pt 0.0000 0.5000 0.0000  4 In 2.85, 2 Pt 2.92, 4 Ta 2.95-3.14

E_form: 0.03 eV per atom
polymorph energy (0 for the lowest one): 0.096 eV/atom